## w
Density functional theory data (PBE+U) for a relaxed VAs2F crystal.

abc: 6.2139 6.2139 6.2139
angles: 90.00 90.00 90.00
Fractional positions:
V (0.0000, 0.0000, 0.0000)
V (0.0000, 0.5000, 0.5000)
V (0.5000, 0.0000, 0.5000)
V (0.5000, 0.5000, 0.0000)
As (0.2500, 0.2500, 0.2500)
As (0.2500, 0.2500, 0.7500)
As (0.2500, 0.7500, 0.2500)
As (0.2500, 0.7500, 0.7500)
As (0.7500, 0.2500, 0.2500)
As (0.7500, 0.2500, 0.7500)
As (0.7500, 0.7500, 0.2500)
As (0.7500, 0.7500, 0.7500)
F (0.0000, 0.0000, 0.5000)
F (0.0000, 0.5000, 0.0000)
F (0.5000, 0.0000, 0.0000)
F (0.5000, 0.5000, 0.5000)

Values from the calculation:
total moment	0.00	μB per formula unit

***

## x
Density functional theory data (PBE+U) for a relaxed VAs2F crystal.

abc: 3.6665 3.6665 21.2393
angles: 90.00 90.00 90.00
Fractional positions:
V (0.0000, 0.0000, 0.0000)
V (0.0000, 0.5000, 0.2500)
V (0.5000, 0.0000, 0.7500)
V (0.5000, 0.5000, 0.5000)
As (0.2234, 0.2500, 0.1250)
As (0.2500, 0.7234, 0.3750)
As (0.2500, 0.7766, 0.8750)
As (0.2766, 0.2500, 0.6250)
As (0.7234, 0.7500, 0.6250)
As (0.7500, 0.2234, 0.8750)
As (0.7500, 0.2766, 0.3750)
As (0.7766, 0.7500, 0.1250)
F (0.0000, 0.0000, 0.5000)
F (0.0000, 0.5000, 0.7500)
F (0.5000, 0.0000, 0.2500)
F (0.5000, 0.5000, 0.0000)

Values from the calculation:
total moment	2.66	μB per formula unit

***

Least stable structure: w

***

## w
Density functional theory data (PBE+U) for a relaxed VAsF3 crystal.

abc: 4.1955 4.1955 4.1955
angles: 90.00 90.00 90.00
Fractional positions:
V (0.0000, 0.0000, 0.0000)
As (0.5000, 0.5000, 0.5000)
F (0.0000, 0.0000, 0.5000)
F (0.0000, 0.5000, 0.0000)
F (0.5000, 0.0000, 0.0000)

Values from the calculation:
total moment	4.99	μB per formula unit

***

## x
Density functional theory data (PBE+U) for a relaxed VAsF3 crystal.

abc: 4.3758 4.3758 4.3758
angles: 90.00 90.00 90.00
Fractional positions:
V (0.0000, 0.0000, 0.0000)
As (0.5000, 0.5000, 0.5000)
F (0.0000, 0.5000, 0.5000)
F (0.5000, 0.0000, 0.5000)
F (0.5000, 0.5000, 0.0000)

Values from the calculation:
total moment	4.15	μB per formula unit

***

Least stable structure: x

***

## w
Density functional theory data (PBE+U) for a relaxed VAsF2 crystal.

abc: 3.1199 3.1199 28.9327
angles: 90.00 90.00 120.00
Fractional positions:
V (0.0000, 0.0000, 0.0000)
V (0.3333, 0.6667, 0.6667)
V (0.6667, 0.3333, 0.3333)
As (0.0000, 0.0000, 0.5000)
As (0.3333, 0.6667, 0.1667)
As (0.6667, 0.3333, 0.8333)
F (0.0000, 0.0000, 0.3704)
F (0.0000, 0.0000, 0.6296)
F (0.3333, 0.6667, 0.0371)
F (0.3333, 0.6667, 0.2962)
F (0.6667, 0.3333, 0.7038)
F (0.6667, 0.3333, 0.9629)

Values from the calculation:
total moment	3.27	μB per formula unit

***

## x
Density functional theory data (PBE+U) for a relaxed VAsF2 crystal.

abc: 3.7905 3.7905 15.3518
angles: 90.00 90.00 90.00
Fractional positions:
V (0.0000, 0.0000, 0.0000)
V (0.0000, 0.5000, 0.2500)
V (0.5000, 0.0000, 0.7500)
V (0.5000, 0.5000, 0.5000)
As (0.0000, 0.0000, 0.5000)
As (0.0000, 0.5000, 0.7500)
As (0.5000, 0.0000, 0.2500)
As (0.5000, 0.5000, 0.0000)
F (0.2247, 0.2500, 0.1250)
F (0.2500, 0.7247, 0.3750)
F (0.2500, 0.7753, 0.8750)
F (0.2753, 0.2500, 0.6250)
F (0.7247, 0.7500, 0.6250)
F (0.7500, 0.2247, 0.8750)
F (0.7500, 0.2753, 0.3750)
F (0.7753, 0.7500, 0.1250)

Values from the calculation:
total moment	2.27	μB per formula unit

***

Least stable structure: x

***

## w
Density functional theory data (PBE+U) for a relaxed As2WF crystal.

abc: 5.5913 5.5913 11.7555
angles: 90.00 90.00 90.00
Fractional positions:
As (0.2472, 0.2500, 0.1250)
As (0.2500, 0.7472, 0.3750)
As (0.2500, 0.7528, 0.8750)
As (0.2528, 0.2500, 0.6250)
As (0.7472, 0.7500, 0.6250)
As (0.7500, 0.2472, 0.8750)
As (0.7500, 0.2528, 0.3750)
As (0.7528, 0.7500, 0.1250)
W (0.0000, 0.0000, 0.5000)
W (0.0000, 0.5000, 0.7500)
W (0.5000, 0.0000, 0.2500)
W (0.5000, 0.5000, 0.0000)
F (0.0000, 0.0000, 0.0000)
F (0.0000, 0.5000, 0.2500)
F (0.5000, 0.0000, 0.7500)
F (0.5000, 0.5000, 0.5000)

Values from the calculation:
total moment	0.96	μB per formula unit

***

## x
Density functional theory data (PBE+U) for a relaxed As2WF crystal.

abc: 6.3263 6.3263 6.3263
angles: 90.00 90.00 90.00
Fractional positions:
As (0.2500, 0.2500, 0.2500)
As (0.2500, 0.2500, 0.7500)
As (0.2500, 0.7500, 0.2500)
As (0.2500, 0.7500, 0.7500)
As (0.7500, 0.2500, 0.2500)
As (0.7500, 0.2500, 0.7500)
As (0.7500, 0.7500, 0.2500)
As (0.7500, 0.7500, 0.7500)
W (0.0000, 0.0000, 0.0000)
W (0.0000, 0.5000, 0.5000)
W (0.5000, 0.0000, 0.5000)
W (0.5000, 0.5000, 0.0000)
F (0.0000, 0.0000, 0.5000)
F (0.0000, 0.5000, 0.0000)
F (0.5000, 0.0000, 0.0000)
F (0.5000, 0.5000, 0.5000)

Values from the calculation:
total moment	0.62	μB per formula unit

***

Least stable structure: w

***

## w
Density functional theory data (PBE+U) for a relaxed As3WF crystal.

abc: 4.5201 4.5201 4.5201
angles: 90.00 90.00 90.00
Fractional positions:
As (0.0000, 0.0000, 0.5000)
As (0.0000, 0.5000, 0.0000)
As (0.5000, 0.0000, 0.0000)
W (0.5000, 0.5000, 0.5000)
F (0.0000, 0.0000, 0.0000)

Values from the calculation:
total moment	2.72	μB per formula unit

***

## x
Density functional theory data (PBE+U) for a relaxed As3WF crystal.

abc: 4.8783 4.8783 4.8783
angles: 90.00 90.00 90.00
Fractional positions:
As (0.0000, 0.0000, 0.5000)
As (0.0000, 0.5000, 0.0000)
As (0.5000, 0.0000, 0.0000)
W (0.0000, 0.0000, 0.0000)
F (0.5000, 0.5000, 0.5000)

Values from the calculation:
total moment	0.00	μB per formula unit

***

Least stable structure: w